[1]
# KAg7 | Alexandria | PBE | optimized geometry
# Density ... 8.3 g/cm3
# VASP energy ... -2.443 eV/atom
# Crystal system ... cubic
# DFT formation energy ... 189 meV per atom
# Space-group type ... No. 225
data_KAg7
_chemical_formula_sum 'K1 Ag7'
_cell_length_a 6.081
_cell_length_b 6.081
_cell_length_c 6.081
_cell_angle_alpha 60.00
_cell_angle_beta 60.00
_cell_angle_gamma 60.00
_symmetry_space_group_name_H-M 'P 1'
_symmetry_Int_Tables_number 1
_symmetry_space_group_name_Hall 'P 1'
loop_
_atom_site_label
_atom_site_fract_x
_atom_site_fract_y
_atom_site_fract_z
_atom_site_occupancy
Ag1 0.000 0.500 0.500 1
Ag2 0.500 0.500 0.500 1
Ag3 0.500 0.000 0.500 1
Ag4 0.500 0.000 0.000 1
Ag5 0.000 0.000 0.500 1
Ag6 0.500 0.500 0.000 1
Ag7 0.000 0.500 0.000 1
K1 0.000 0.000 0.000 1


[2]
# KAg3 | Alexandria | PBE | optimized geometry
# Density ... 6.7 g/cm3
# VASP energy ... -2.098 eV/atom
# Crystal system ... trigonal
# DFT formation energy ... 315 meV per atom
# Space-group type ... No. 166
data_KAg3
_chemical_formula_sum 'K1 Ag3'
_cell_length_a 10.258
_cell_length_b 10.258
_cell_length_c 10.258
_cell_angle_alpha 18.04
_cell_angle_beta 18.04
_cell_angle_gamma 18.04
_symmetry_space_group_name_H-M 'P 1'
_symmetry_Int_Tables_number 1
_symmetry_space_group_name_Hall 'P 1'
loop_
_atom_site_label
_atom_site_fract_x
_atom_site_fract_y
_atom_site_fract_z
_atom_site_occupancy
K1 0.000 0.000 0.000 1
Ag1 0.239 0.239 0.239 1
Ag2 0.761 0.761 0.761 1
Ag3 0.500 0.500 0.500 1


[3]
# KAg | Alexandria | PBE | optimized geometry
# Density ... 2.9 g/cm3
# VASP energy ... -1.826 eV/atom
# Energy relative to the lowest polymorph listed for this composition ... 0.27 eV per formula unit
# Crystal system ... hexagonal
# DFT formation energy ... 148 meV per atom
# Space-group type ... No. 194
data_KAg
_chemical_formula_sum 'K2 Ag2'
_cell_length_a 4.843
_cell_length_b 4.843
_cell_length_c 8.271
_cell_angle_alpha 90.00
_cell_angle_beta 90.00
_cell_angle_gamma 120.00
_symmetry_space_group_name_H-M 'P 1'
_symmetry_Int_Tables_number 1
_symmetry_space_group_name_Hall 'P 1'
loop_
_atom_site_label
_atom_site_fract_x
_atom_site_fract_y
_atom_site_fract_z
_atom_site_occupancy
Ag1 0.000 0.000 0.000 1
Ag2 0.000 0.000 0.500 1
K1 0.333 0.667 0.250 1
K2 0.667 0.333 0.750 1


[4]
# KAg | Alexandria | PBE | optimized geometry
# Density ... 2.1 g/cm3
# VASP energy ... -1.716 eV/atom
# Energy relative to the lowest polymorph listed for this composition ... 0.49 eV per formula unit
# Crystal system ... cubic
# DFT formation energy ... 259 meV per atom
# Space-group type ... No. 216
data_KAg
_chemical_formula_sum 'K1 Ag1'
_cell_length_a 5.498
_cell_length_b 5.498
_cell_length_c 5.498
_cell_angle_alpha 60.00
_cell_angle_beta 60.00
_cell_angle_gamma 60.00
_symmetry_space_group_name_H-M 'P 1'
_symmetry_Int_Tables_number 1
_symmetry_space_group_name_Hall 'P 1'
loop_
_atom_site_label
_atom_site_fract_x
_atom_site_fract_y
_atom_site_fract_z
_atom_site_occupancy
Ag1 0.000 0.000 0.000 1
K1 0.250 0.250 0.250 1


[5]
# KAg6 | Alexandria | PBE | optimized geometry
# Density ... 7.5 g/cm3
# VASP energy ... -2.538 eV/atom
# Energy relative to the lowest polymorph listed for this composition ... 0.00 eV per formula unit
# Crystal system ... orthorhombic
# DFT formation energy ... 63 meV per atom
# Space-group type ... No. 62
data_KAg6
_chemical_formula_sum 'K4 Ag24'
_cell_length_a 5.728
_cell_length_b 9.237
_cell_length_c 11.487
_cell_angle_alpha 90.00
_cell_angle_beta 90.00
_cell_angle_gamma 90.00
_symmetry_space_group_name_H-M 'P 1'
_symmetry_Int_Tables_number 1
_symmetry_space_group_name_Hall 'P 1'
loop_
_atom_site_label
_atom_site_fract_x
_atom_site_fract_y
_atom_site_fract_z
_atom_site_occupancy
Ag1 0.994 0.062 0.692 1
Ag2 0.250 0.566 0.592 1
Ag3 0.506 0.062 0.692 1
Ag4 0.250 0.894 0.518 1
Ag5 0.250 0.815 0.760 1
Ag6 0.006 0.438 0.192 1
Ag7 0.250 0.315 0.740 1
Ag8 0.006 0.938 0.308 1
Ag9 0.750 0.350 0.647 1
Ag10 0.750 0.106 0.482 1
Ag11 0.250 0.650 0.353 1
Ag12 0.250 0.066 0.908 1
Ag13 0.750 0.685 0.260 1
Ag14 0.506 0.562 0.808 1
Ag15 0.750 0.606 0.018 1
Ag16 0.250 0.394 0.982 1
Ag17 0.994 0.562 0.808 1
Ag18 0.494 0.938 0.308 1
Ag19 0.494 0.438 0.192 1
Ag20 0.250 0.150 0.147 1
Ag21 0.750 0.185 0.240 1
Ag22 0.750 0.434 0.408 1
Ag23 0.750 0.850 0.853 1
Ag24 0.750 0.934 0.092 1
K1 0.250 0.259 0.437 1
K2 0.750 0.241 0.937 1
K3 0.250 0.759 0.063 1
K4 0.750 0.741 0.563 1


[6]
# K4Ag | Alexandria | PBE | optimized geometry
# Density ... 1.6 g/cm3
# VASP energy ... -1.418 eV/atom
# Energy relative to the lowest polymorph listed for this composition ... 0.00 eV per formula unit
# Crystal system ... orthorhombic
# DFT formation energy ... 30 meV per atom
# Space-group type ... No. 72
data_K4Ag
_chemical_formula_sum 'K8 Ag2'
_cell_length_a 7.445
_cell_length_b 8.761
_cell_length_c 10.343
_cell_angle_alpha 115.06
_cell_angle_beta 111.10
_cell_angle_gamma 90.00
_symmetry_space_group_name_H-M 'P 1'
_symmetry_Int_Tables_number 1
_symmetry_space_group_name_Hall 'P 1'
loop_
_atom_site_label
_atom_site_fract_x
_atom_site_fract_y
_atom_site_fract_z
_atom_site_occupancy
K1 0.424 0.612 0.847 1
K2 0.924 0.235 0.847 1
K3 0.166 0.309 0.332 1
K4 0.666 0.023 0.332 1
K5 0.076 0.765 0.153 1
K6 0.334 0.977 0.668 1
K7 0.834 0.691 0.668 1
K8 0.576 0.388 0.153 1
Ag1 0.750 0.000 0.000 1
Ag2 0.250 0.000 0.000 1


[7]
# K2Ag | Alexandria | PBE | optimized geometry
# Density ... 2.2 g/cm3
# VASP energy ... -1.624 eV/atom
# Crystal system ... orthorhombic
# DFT formation energy ... 58 meV per atom
# Space-group type ... No. 63
data_K2Ag
_chemical_formula_sum 'K4 Ag2'
_cell_length_a 11.582
_cell_length_b 11.582
_cell_length_c 5.768
_cell_angle_alpha 90.00
_cell_angle_beta 90.00
_cell_angle_gamma 158.77
_symmetry_space_group_name_H-M 'P 1'
_symmetry_Int_Tables_number 1
_symmetry_space_group_name_Hall 'P 1'
loop_
_atom_site_label
_atom_site_fract_x
_atom_site_fract_y
_atom_site_fract_z
_atom_site_occupancy
Ag1 0.563 0.437 0.750 1
Ag2 0.437 0.563 0.250 1
K1 0.188 0.812 0.750 1
K2 0.812 0.188 0.250 1
K3 0.939 0.061 0.750 1
K4 0.061 0.939 0.250 1


[8]
# KAg | Alexandria | PBE | optimized geometry
# Density ... 3.4 g/cm3
# VASP energy ... -1.831 eV/atom
# Energy relative to the lowest polymorph listed for this composition ... 0.26 eV per formula unit
# Crystal system ... cubic
# DFT formation energy ... 144 meV per atom
# Space-group type ... No. 198
data_KAg
_chemical_formula_sum 'K4 Ag4'
_cell_length_a 6.593
_cell_length_b 6.593
_cell_length_c 6.593
_cell_angle_alpha 90.00
_cell_angle_beta 90.00
_cell_angle_gamma 90.00
_symmetry_space_group_name_H-M 'P 1'
_symmetry_Int_Tables_number 1
_symmetry_space_group_name_Hall 'P 1'
loop_
_atom_site_label
_atom_site_fract_x
_atom_site_fract_y
_atom_site_fract_z
_atom_site_occupancy
K1 0.415 0.915 0.585 1
K2 0.085 0.085 0.085 1
K3 0.585 0.415 0.915 1
K4 0.915 0.585 0.415 1
Ag1 0.909 0.091 0.591 1
Ag2 0.409 0.409 0.409 1
Ag3 0.591 0.909 0.091 1
Ag4 0.091 0.591 0.909 1


[9]
# KAg3 | Alexandria | PBE | optimized geometry
# Density ... 6.4 g/cm3
# VASP energy ... -2.238 eV/atom
# Crystal system ... orthorhombic
# DFT formation energy ... 175 meV per atom
# Space-group type ... No. 71
data_KAg3
_chemical_formula_sum 'K1 Ag3'
_cell_length_a 6.424
_cell_length_b 6.424
_cell_length_c 6.424
_cell_angle_alpha 152.84
_cell_angle_beta 128.97
_cell_angle_gamma 58.76
_symmetry_space_group_name_H-M 'P 1'
_symmetry_Int_Tables_number 1
_symmetry_space_group_name_Hall 'P 1'
loop_
_atom_site_label
_atom_site_fract_x
_atom_site_fract_y
_atom_site_fract_z
_atom_site_occupancy
K1 0.500 0.000 0.500 1
Ag1 0.216 0.216 0.000 1
Ag2 0.784 0.784 0.000 1
Ag3 0.000 0.500 0.500 1


[10]
# K8Ag | Alexandria | PBE | optimized geometry
# Density ... 1.3 g/cm3
# VASP energy ... -1.239 eV/atom
# Energy relative to the lowest polymorph listed for this composition ... 0.00 eV per formula unit
# Crystal system ... tetragonal
# DFT formation energy ... 53 meV per atom
# Space-group type ... No. 139
data_K8Ag
_chemical_formula_sum 'K8 Ag1'
_cell_length_a 10.955
_cell_length_b 10.955
_cell_length_c 10.955
_cell_angle_alpha 92.85
_cell_angle_beta 92.85
_cell_angle_gamma 154.25
_symmetry_space_group_name_H-M 'P 1'
_symmetry_Int_Tables_number 1
_symmetry_space_group_name_Hall 'P 1'
loop_
_atom_site_label
_atom_site_fract_x
_atom_site_fract_y
_atom_site_fract_z
_atom_site_occupancy
K1 0.639 0.361 0.000 1
K2 0.333 0.000 0.333 1
K3 0.361 0.639 0.000 1
K4 0.000 0.333 0.333 1
K5 0.667 0.000 0.667 1
K6 0.361 0.361 0.723 1
K7 0.000 0.667 0.667 1
K8 0.639 0.639 0.277 1
Ag1 0.000 0.000 0.000 1


[11]
# KAg2 | Alexandria | PBE | optimized geometry
# Density ... 4.5 g/cm3
# VASP energy ... -2.182 eV/atom
# Crystal system ... tetragonal
# DFT formation energy ... 85 meV per atom
# Space-group type ... No. 141
data_KAg2
_chemical_formula_sum 'K2 Ag4'
_cell_length_a 8.967
_cell_length_b 8.967
_cell_length_c 8.967
_cell_angle_alpha 149.32
_cell_angle_beta 149.32
_cell_angle_gamma 43.93
_symmetry_space_group_name_H-M 'P 1'
_symmetry_Int_Tables_number 1
_symmetry_space_group_name_Hall 'P 1'
loop_
_atom_site_label
_atom_site_fract_x
_atom_site_fract_y
_atom_site_fract_z
_atom_site_occupancy
K1 0.250 0.750 0.500 1
K2 0.000 0.000 0.000 1
Ag1 0.417 0.417 0.000 1
Ag2 0.833 0.333 0.500 1
Ag3 0.667 0.167 0.500 1
Ag4 0.583 0.583 0.000 1


[12]
# K2Ag | Alexandria | PBE | optimized geometry
# Density ... 2.5 g/cm3
# VASP energy ... -1.609 eV/atom
# Crystal system ... hexagonal
# DFT formation energy ... 73 meV per atom
# Space-group type ... No. 194
data_K2Ag
_chemical_formula_sum 'K4 Ag2'
_cell_length_a 6.082
_cell_length_b 6.082
_cell_length_c 7.774
_cell_angle_alpha 90.00
_cell_angle_beta 90.00
_cell_angle_gamma 120.00
_symmetry_space_group_name_H-M 'P 1'
_symmetry_Int_Tables_number 1
_symmetry_space_group_name_Hall 'P 1'
loop_
_atom_site_label
_atom_site_fract_x
_atom_site_fract_y
_atom_site_fract_z
_atom_site_occupancy
K1 0.000 0.000 0.500 1
K2 0.000 0.000 0.000 1
K3 0.333 0.667 0.750 1
K4 0.667 0.333 0.250 1
Ag1 0.333 0.667 0.250 1
Ag2 0.667 0.333 0.750 1